(1)
An optimized crystal structure of K2Bi2Pb, computed with GGA-PBE.

* volume: 39.7 Å³ per atom
* ΔE to the lowest computed polymorph: 3.5 kJ/mol of atoms
* ΔE_f: -265.3 meV/atom
* DOS(E_F): 3.62 states/eV per cell

Cell: 8.377 8.377 5.665 Å, 90.00 90.00 90.00°
Positions (direct):
K (0.828, 0.328, 0.500)
K (0.328, 0.172, 0.500)
K (0.672, 0.828, 0.500)
K (0.172, 0.672, 0.500)
Bi (0.871, 0.629, 0.000)
Bi (0.129, 0.371, 0.000)
Bi (0.371, 0.871, 0.000)
Bi (0.629, 0.129, 0.000)
Pb (0.000, 0.000, 0.000)
Pb (0.500, 0.500, 0.000)

(2)
An optimized crystal structure of KBiPb, computed with GGA-PBE.

* volume: 37.0 Å³ per atom
* ΔE_f: -187.3 meV/atom
* DOS(E_F): 2.31 states/eV per cell

Cell: 4.191 4.191 6.984 Å, 107.46 107.46 90.00°
Positions (direct):
Bi (0.695, 0.695, 0.391)
Pb (0.303, 0.303, 0.606)
K (0.002, 0.002, 0.003)

(3)
An optimized crystal structure of KBi2Pb2, computed with GGA-PBE.

* volume: 35.8 Å³ per atom
* ΔE to the lowest computed polymorph: 5.9 kJ/mol of atoms
* ΔE_f: -98.0 meV/atom
* DOS(E_F): 3.15 states/eV per cell

Cell: 9.290 9.290 4.143 Å, 90.00 90.00 90.00°
Positions (direct):
Pb (0.350, 0.150, 0.500)
Pb (0.850, 0.350, 0.500)
Pb (0.650, 0.850, 0.500)
Pb (0.150, 0.650, 0.500)
K (0.500, 0.500, 0.000)
K (0.000, 0.000, 0.000)
Bi (0.132, 0.368, 0.000)
Bi (0.368, 0.868, 0.000)
Bi (0.868, 0.632, 0.000)
Bi (0.632, 0.132, 0.000)

(4)
An optimized crystal structure of K2BiPb, computed with GGA-PBE.

* volume: 48.5 Å³ per atom
* ΔE to the lowest computed polymorph: 7.1 kJ/mol of atoms
* ΔE_f: -130.2 meV/atom
* DOS(E_F): 1.93 states/eV per cell

Cell: 5.723 6.133 6.945 Å, 116.24 114.38 89.96°
Positions (direct):
K (0.816, 0.686, 0.631)
K (0.185, 0.055, 0.369)
Pb (0.500, 0.148, 0.000)
Bi (0.500, 0.647, 0.000)

(5)
An optimized crystal structure of K3Bi4Pb2, computed with GGA-PBE.

* volume: 38.7 Å³ per atom
* ΔE to the lowest computed polymorph: 7.5 kJ/mol of atoms
* ΔE_f: -185.8 meV/atom
* DOS(E_F): 7.83 states/eV per cell

Cell: 6.821 10.404 10.404 Å, 70.79 87.73 87.73°
Positions (direct):
Bi (0.383, 0.868, 0.298)
Bi (0.418, 0.462, 0.168)
Bi (0.582, 0.538, 0.832)
Bi (0.117, 0.702, 0.132)
Bi (0.617, 0.132, 0.702)
Bi (0.082, 0.832, 0.538)
Bi (0.883, 0.298, 0.868)
Bi (0.918, 0.168, 0.462)
K (0.126, 0.992, 0.792)
K (0.626, 0.792, 0.992)
K (0.750, 0.569, 0.431)
K (0.250, 0.431, 0.569)
K (0.874, 0.008, 0.208)
K (0.374, 0.208, 0.008)
Pb (0.553, 0.846, 0.597)
Pb (0.053, 0.597, 0.846)
Pb (0.447, 0.154, 0.403)
Pb (0.947, 0.403, 0.154)

(6)
An optimized crystal structure of KBi2Pb2, computed with GGA-PBE.

* volume: 37.7 Å³ per atom
* ΔE to the lowest computed polymorph: 2.0 kJ/mol of atoms
* ΔE_f: -139.0 meV/atom
* DOS(E_F): 4.22 states/eV per cell

Cell: 5.036 4.921 15.631 Å, 99.06 99.27 90.00°
Positions (direct):
Pb (0.545, 0.295, 0.090)
Pb (0.044, 0.794, 0.089)
Pb (0.455, 0.705, 0.910)
Pb (0.956, 0.206, 0.911)
Bi (0.279, 0.029, 0.558)
Bi (0.615, 0.865, 0.230)
Bi (0.385, 0.135, 0.770)
Bi (0.721, 0.971, 0.442)
K (0.171, 0.421, 0.342)
K (0.829, 0.579, 0.658)

(7)
An optimized crystal structure of K3Bi2Pb2, computed with GGA-PBE.

* volume: 41.6 Å³ per atom
* ΔE_f: -255.7 meV/atom
* DOS(E_F): 12.99 states/eV per cell

Cell: 7.898 9.273 15.887 Å, 90.00 90.00 90.00°
Positions (direct):
K (0.079, 0.548, 0.382)
K (0.921, 0.048, 0.118)
K (0.079, 0.952, 0.882)
K (0.370, 0.300, 0.750)
K (0.921, 0.048, 0.382)
K (0.370, 0.200, 0.250)
K (0.630, 0.800, 0.750)
K (0.921, 0.452, 0.618)
K (0.079, 0.952, 0.618)
K (0.079, 0.548, 0.118)
K (0.630, 0.700, 0.250)
K (0.921, 0.452, 0.882)
Pb (0.355, 0.894, 0.066)
Pb (0.355, 0.606, 0.566)
Pb (0.645, 0.106, 0.566)
Pb (0.645, 0.394, 0.066)
Pb (0.355, 0.894, 0.434)
Pb (0.645, 0.106, 0.934)
Pb (0.355, 0.606, 0.934)
Pb (0.645, 0.394, 0.434)
Bi (0.209, 0.836, 0.250)
Bi (0.694, 0.750, 0.000)
Bi (0.791, 0.164, 0.750)
Bi (0.694, 0.750, 0.500)
Bi (0.306, 0.250, 0.000)
Bi (0.791, 0.336, 0.250)
Bi (0.306, 0.250, 0.500)
Bi (0.209, 0.664, 0.750)

(8)
An optimized crystal structure of K3BiPb, computed with GGA-PBE.

* volume: 46.3 Å³ per atom
* ΔE to the lowest computed polymorph: 6.0 kJ/mol of atoms
* ΔE_f: -144.7 meV/atom
* DOS(E_F): 6.19 states/eV per cell

Cell: 8.786 8.786 8.786 Å, 90.97 110.19 129.65°
Positions (direct):
K (0.953, 0.733, 0.720)
K (0.483, 0.720, 0.740)
K (0.483, 0.242, 0.263)
K (0.014, 0.233, 0.280)
K (0.980, 0.742, 0.260)
K (0.980, 0.220, 0.737)
Pb (0.292, 0.731, 0.062)
Pb (0.669, 0.231, 0.938)
Bi (0.589, 0.732, 0.357)
Bi (0.375, 0.232, 0.643)

(9)
An optimized crystal structure of K2Bi2Pb, computed with GGA-PBE.

* volume: 39.0 Å³ per atom
* ΔE to the lowest computed polymorph: 35.5 kJ/mol of atoms
* ΔE_f: 66.7 meV/atom
* DOS(E_F): 4.37 states/eV per cell

Cell: 4.963 4.963 8.668 Å, 73.36 73.36 90.00°
Positions (direct):
Bi (0.408, 0.408, 0.185)
Bi (0.592, 0.592, 0.815)
K (0.750, 0.250, 0.500)
K (0.250, 0.750, 0.500)
Pb (0.000, 0.000, 0.000)

(10)
An optimized crystal structure of KBi2Pb2, computed with GGA-PBE.

* volume: 35.8 Å³ per atom
* ΔE to the lowest computed polymorph: 4.8 kJ/mol of atoms
* ΔE_f: -109.2 meV/atom
* DOS(E_F): 3.89 states/eV per cell

Cell: 9.699 9.699 3.803 Å, 90.00 90.00 90.00°
Positions (direct):
Bi (0.162, 0.662, 0.500)
Bi (0.662, 0.838, 0.500)
Bi (0.338, 0.162, 0.500)
Bi (0.838, 0.338, 0.500)
K (0.000, 0.000, 0.000)
K (0.500, 0.500, 0.000)
Pb (0.125, 0.375, 0.000)
Pb (0.875, 0.625, 0.000)
Pb (0.625, 0.125, 0.000)
Pb (0.375, 0.875, 0.000)

(11)
An optimized crystal structure of KBi4Pb15, computed with GGA-PBE.

* volume: 32.1 Å³ per atom
* ΔE_f: 12.1 meV/atom
* DOS(E_F): 10.08 states/eV per cell

Cell: 5.622 5.622 20.310 Å, 90.00 90.00 90.00°
Positions (direct):
Bi (0.000, 0.000, 0.602)
Bi (0.000, 0.000, 0.808)
Bi (0.000, 0.000, 0.192)
Bi (0.000, 0.000, 0.398)
Pb (0.000, 0.500, 0.109)
Pb (0.500, 0.000, 0.303)
Pb (0.500, 0.000, 0.500)
Pb (0.500, 0.500, 0.211)
Pb (0.500, 0.500, 0.000)
Pb (0.500, 0.500, 0.407)
Pb (0.000, 0.500, 0.891)
Pb (0.000, 0.500, 0.697)
Pb (0.500, 0.500, 0.593)
Pb (0.500, 0.000, 0.109)
Pb (0.500, 0.500, 0.789)
Pb (0.500, 0.000, 0.697)
Pb (0.000, 0.500, 0.500)
Pb (0.500, 0.000, 0.891)
Pb (0.000, 0.500, 0.303)
K (0.000, 0.000, 0.000)